1.
The following is a PBE calculation of a relaxed structure of Si2WS, from Alexandria via LeMat-Bulk.

Lattice parameters (Å, degrees): 6.167 6.167 6.167 123.34 123.34 84.31
Positions (direct):
Si1 0.108 0.625 0.983
Si2 0.375 0.358 0.483
Si3 0.642 0.125 0.017
Si4 0.875 0.892 0.517
W1 0.250 0.750 0.500
W2 0.500 0.500 0.000
S1 0.000 0.000 0.000
S2 0.750 0.250 0.500

Output
raw formation energy	2.8	eV/f.u.
final energy	-50.19	eV for the cell shown

***

2.
The following is a PBE calculation of a relaxed structure of SiWS2, from Alexandria via LeMat-Bulk.

Lattice parameters (Å, degrees): 8.567 8.567 8.567 21.09 21.09 21.09
Positions (direct):
Si1 0.000 0.000 0.000
W1 0.500 0.500 0.500
S1 0.102 0.102 0.102
S2 0.898 0.898 0.898

Output
raw formation energy	-0.3	eV/f.u.
final energy	-26.97	eV for the cell shown

***

3.
The following is a PBE calculation of a relaxed structure of Si3WS, from Alexandria via LeMat-Bulk.

Lattice parameters (Å, degrees): 4.361 4.361 4.361 90.00 90.00 90.00
Positions (direct):
Si1 0.000 0.000 0.500
Si2 0.000 0.500 0.000
Si3 0.500 0.000 0.000
W1 0.500 0.500 0.500
S1 0.000 0.000 0.000

Output
raw formation energy	6.4	eV/f.u.
final energy	-26.98	eV for the cell shown

***

4.
The following is a PBE calculation of a relaxed structure of Si3WS, from Alexandria via LeMat-Bulk.

Lattice parameters (Å, degrees): 4.786 4.786 4.786 90.00 90.00 90.00
Positions (direct):
Si1 0.000 0.000 0.500
Si2 0.000 0.500 0.000
Si3 0.500 0.000 0.000
W1 0.000 0.000 0.000
S1 0.500 0.500 0.500

Output
raw formation energy	4.1	eV/f.u.
final energy	-29.21	eV for the cell shown

***

5.
The following is a PBE calculation of a relaxed structure of Si2W2S, from Alexandria via LeMat-Bulk.

Lattice parameters (Å, degrees): 4.388 4.388 4.324 90.00 90.00 90.00
Positions (direct):
Si1 0.000 0.500 0.000
Si2 0.500 0.000 0.000
W1 0.000 0.000 0.500
W2 0.500 0.500 0.500
S1 0.000 0.000 0.000

Output
raw formation energy	6.8	eV/f.u.
final energy	-34.06	eV for the cell shown

***

6.
The following is a PBE calculation of a relaxed structure of Y4SiS4, from Alexandria via LeMat-Bulk.

Lattice parameters (Å, degrees): 7.514 7.514 7.514 127.17 127.17 77.98
Positions (direct):
Y1 0.153 0.153 0.549
Y2 0.396 0.847 0.000
Y3 0.604 0.604 0.451
Y4 0.847 0.396 0.000
Si1 0.500 0.500 0.000
S1 0.000 0.500 0.500
S2 0.211 0.211 0.000
S3 0.500 0.000 0.500
S4 0.789 0.789 0.000

Output
raw formation energy	-11.1	eV/f.u.
final energy	-58.90	eV for the cell shown

***

7.
The following is a PBE calculation of a relaxed structure of Y6SiS5, from Alexandria via LeMat-Bulk.

Lattice parameters (Å, degrees): 6.858 6.858 6.871 99.57 99.57 120.01
Positions (direct):
Y1 0.083 0.412 0.248
Y2 0.248 0.248 0.754
Y3 0.412 0.083 0.248
Y4 0.588 0.917 0.752
Y5 0.752 0.752 0.246
Y6 0.917 0.588 0.752
Si1 0.000 0.000 0.000
S1 0.167 0.833 0.500
S2 0.333 0.667 0.000
S3 0.500 0.500 0.500
S4 0.667 0.333 0.000
S5 0.833 0.167 0.500

Output
raw formation energy	-22.1	eV/f.u.
final energy	-86.90	eV for the cell shown

***

8.
The following is a PBE calculation of a relaxed structure of Y8SiS6, from Alexandria via LeMat-Bulk.

Lattice parameters (Å, degrees): 10.093 10.093 3.940 90.00 90.00 120.00
Positions (direct):
Y1 0.032 0.710 0.255
Y2 0.290 0.322 0.255
Y3 0.322 0.032 0.745
Y4 0.333 0.667 0.747
Y5 0.667 0.333 0.253
Y6 0.678 0.968 0.255
Y7 0.710 0.678 0.745
Y8 0.968 0.290 0.745
Si1 0.000 0.000 0.500
S1 0.134 0.481 0.249
S2 0.348 0.866 0.249
S3 0.481 0.348 0.751
S4 0.519 0.652 0.249
S5 0.652 0.134 0.751
S6 0.866 0.519 0.751

Output
raw formation energy	-22.4	eV/f.u.
final energy	-104.31	eV for the cell shown